(1)
! PBE-GGA NaMo, optimized geometry; values from VASP
! crystal system = tetragonal
! offset from the most stable computed form = 1100.0 meV per atom
! size of the total moment = 0.0 μB per formula unit
! space group = P4_2/mnm
! formation energy from the elements = 1.595 eV/atom
! DOS at the Fermi energy = 0.8449 states/eV per atom
&SYSTEM
  ibrav = 0, nat = 8, ntyp = 2
/
ATOMIC_SPECIES
Mo 95.94 Mo.upf
Na 22.99 Na.upf
ATOMIC_POSITIONS crystal
Mo 0.376 0.376 0.000
Mo 0.876 0.124 0.500
Mo 0.624 0.624 0.000
Mo 0.124 0.876 0.500
Na 0.162 0.838 0.000
Na 0.338 0.338 0.500
Na 0.662 0.662 0.500
Na 0.838 0.162 0.000
CELL_PARAMETERS angstrom
5.843 0.000 0.000
0.000 5.843 0.000
0.000 0.000 6.137

(2)
! PBE-GGA Na4Mo, optimized geometry; values from VASP
! crystal system = cubic
! size of the total moment = 5.0 μB per formula unit
! space group = Pm-3m
! formation energy from the elements = 1.070 eV/atom
! DOS at the Fermi energy = 0.6017 states/eV per atom
&SYSTEM
  ibrav = 0, nat = 5, ntyp = 2
/
ATOMIC_SPECIES
Na 22.99 Na.upf
Mo 95.94 Mo.upf
ATOMIC_POSITIONS crystal
Na 0.000 0.000 0.000
Na 0.500 0.500 0.000
Na 0.500 0.000 0.500
Na 0.000 0.500 0.500
Mo 0.500 0.500 0.500
CELL_PARAMETERS angstrom
6.042 0.000 0.000
0.000 6.042 0.000
0.000 0.000 6.042

(3)
! PBE-GGA NaMo, optimized geometry; values from VASP
! crystal system = cubic
! offset from the most stable computed form = 1091.1 meV per atom
! size of the total moment = 0.5 μB per formula unit
! space group = I-43m
! formation energy from the elements = 1.586 eV/atom
! DOS at the Fermi energy = 1.5931 states/eV per atom
&SYSTEM
  ibrav = 0, nat = 16, ntyp = 2
/
ATOMIC_SPECIES
Na 22.99 Na.upf
Mo 95.94 Mo.upf
ATOMIC_POSITIONS crystal
Na 0.292 0.292 0.708
Na 0.708 0.708 0.708
Na 0.708 0.292 0.292
Na 0.208 0.792 0.792
Na 0.792 0.792 0.208
Na 0.208 0.208 0.208
Na 0.792 0.208 0.792
Na 0.292 0.708 0.292
Mo 0.911 0.911 0.911
Mo 0.589 0.411 0.589
Mo 0.411 0.411 0.411
Mo 0.089 0.089 0.911
Mo 0.411 0.589 0.589
Mo 0.089 0.911 0.089
Mo 0.589 0.589 0.411
Mo 0.911 0.089 0.089
CELL_PARAMETERS angstrom
9.574 0.000 0.000
0.000 9.574 0.000
0.000 0.000 9.574

(4)
! PBE-GGA NaMo, optimized geometry; values from VASP
! crystal system = orthorhombic
! offset from the most stable computed form = 529.3 meV per atom
! size of the total moment = 0.1 μB per formula unit
! space group = Pmmn
! formation energy from the elements = 1.025 eV/atom
! DOS at the Fermi energy = 1.1163 states/eV per atom
&SYSTEM
  ibrav = 0, nat = 12, ntyp = 2
/
ATOMIC_SPECIES
Na 22.99 Na.upf
Mo 95.94 Mo.upf
ATOMIC_POSITIONS crystal
Na 0.675 0.493 0.500
Na 0.175 0.507 0.000
Na 0.500 0.990 0.500
Na 0.000 0.010 0.000
Na 0.825 0.507 0.000
Na 0.325 0.493 0.500
Mo 0.874 0.996 0.500
Mo 0.126 0.996 0.500
Mo 0.000 0.537 0.500
Mo 0.626 0.004 0.000
Mo 0.374 0.004 0.000
Mo 0.500 0.463 0.000
CELL_PARAMETERS angstrom
10.651 0.000 0.000
0.000 4.274 0.000
0.000 0.000 5.542

(5)
! PBE-GGA NaMo, optimized geometry; values from VASP
! crystal system = orthorhombic
! offset from the most stable computed form = 159.0 meV per atom
! size of the total moment = 0.0 μB per formula unit
! space group = Pmmn
! formation energy from the elements = 0.654 eV/atom
! DOS at the Fermi energy = 0.8433 states/eV per atom
&SYSTEM
  ibrav = 0, nat = 12, ntyp = 2
/
ATOMIC_SPECIES
Na 22.99 Na.upf
Mo 95.94 Mo.upf
ATOMIC_POSITIONS crystal
Na 0.000 0.641 0.676
Na 0.500 0.359 0.176
Na 0.500 0.359 0.824
Na 0.000 0.803 0.000
Na 0.500 0.197 0.500
Na 0.000 0.641 0.324
Mo 0.000 0.085 0.217
Mo 0.500 0.081 0.000
Mo 0.000 0.085 0.783
Mo 0.000 0.919 0.500
Mo 0.500 0.915 0.283
Mo 0.500 0.915 0.717
CELL_PARAMETERS angstrom
-2.394 -1.191 -1.872
-3.854 -5.039 8.135
-5.219 7.286 2.041

(6)
! PBE-GGA NaMo, optimized geometry; values from VASP
! crystal system = orthorhombic
! offset from the most stable computed form = 695.9 meV per atom
! size of the total moment = 0.0 μB per formula unit
! space group = Fddd
! formation energy from the elements = 1.191 eV/atom
! DOS at the Fermi energy = 0.8122 states/eV per atom
&SYSTEM
  ibrav = 0, nat = 32, ntyp = 2
/
ATOMIC_SPECIES
Mo 95.94 Mo.upf
Na 22.99 Na.upf
ATOMIC_POSITIONS crystal
Mo 0.000 0.427 0.500
Mo 0.250 0.177 0.750
Mo 0.750 0.823 0.750
Mo 0.250 0.323 0.750
Mo 0.250 0.823 0.250
Mo 0.000 0.927 0.000
Mo 0.250 0.677 0.250
Mo 0.000 0.573 0.500
Mo 0.500 0.927 0.500
Mo 0.750 0.323 0.250
Mo 0.000 0.073 0.000
Mo 0.750 0.177 0.250
Mo 0.750 0.677 0.750
Mo 0.500 0.573 0.000
Mo 0.500 0.073 0.500
Mo 0.500 0.427 0.000
Na 0.750 0.250 0.593
Na 0.500 0.000 0.843
Na 0.000 0.000 0.657
Na 0.500 0.000 0.157
Na 0.000 0.000 0.343
Na 0.250 0.250 0.093
Na 0.250 0.750 0.593
Na 0.500 0.500 0.343
Na 0.750 0.250 0.907
Na 0.000 0.500 0.157
Na 0.250 0.750 0.907
Na 0.750 0.750 0.093
Na 0.750 0.750 0.407
Na 0.000 0.500 0.843
Na 0.500 0.500 0.657
Na 0.250 0.250 0.407
CELL_PARAMETERS angstrom
-3.217 -1.480 4.550
-9.654 -6.053 -8.795
4.368 -7.776 0.558

(7)
! PBE-GGA NaMo, optimized geometry; values from VASP
! crystal system = monoclinic
! offset from the most stable computed form = 0.0 meV per atom
! size of the total moment = 0.0 μB per formula unit
! space group = C2/m
! formation energy from the elements = 0.495 eV/atom
! DOS at the Fermi energy = 0.4314 states/eV per atom
&SYSTEM
  ibrav = 0, nat = 8, ntyp = 2
/
ATOMIC_SPECIES
Mo 95.94 Mo.upf
Na 22.99 Na.upf
ATOMIC_POSITIONS crystal
Mo 0.088 0.500 0.755
Mo 0.912 0.500 0.245
Mo 0.912 0.000 0.745
Mo 0.088 0.000 0.255
Na 0.653 0.000 0.216
Na 0.347 0.500 0.284
Na 0.653 0.500 0.716
Na 0.347 0.000 0.784
CELL_PARAMETERS angstrom
-0.924 -7.911 -7.233
3.103 -0.753 0.428
-1.227 -2.997 3.626

(8)
! PBE-GGA NaMo, optimized geometry; values from VASP
! crystal system = cubic
! offset from the most stable computed form = 1952.1 meV per atom
! size of the total moment = 4.8 μB per formula unit
! space group = Fm-3m
! formation energy from the elements = 2.447 eV/atom
! DOS at the Fermi energy = 0.7745 states/eV per atom
&SYSTEM
  ibrav = 0, nat = 8, ntyp = 2
/
ATOMIC_SPECIES
Na 22.99 Na.upf
Mo 95.94 Mo.upf
ATOMIC_POSITIONS crystal
Na 0.500 0.000 0.500
Na 0.000 0.500 0.500
Na 0.000 0.000 0.000
Na 0.500 0.500 0.000
Mo 0.000 0.000 0.500
Mo 0.500 0.000 0.000
Mo 0.500 0.500 0.500
Mo 0.000 0.500 0.000
CELL_PARAMETERS angstrom
-3.454 -4.891 1.935
-1.158 -1.551 -5.987
5.131 -3.643 -0.049